## CrNiPt4 (PBE-GGA)

Data for a relaxed CrNiPt4 crystal.

Structure (CIF):
```
data_CrNiPt4
_space_group_name_H-M_alt 'P 1'
_space_group_IT_number 1
_cell_length_a 2.7418
_cell_length_b 7.3939
_cell_length_c 8.7566
_cell_angle_alpha 90.00
_cell_angle_beta 90.00
_cell_angle_gamma 90.00
loop_
_space_group_symop_operation_xyz
'x,y,z'
loop_
_atom_site_label
_atom_site_type_symbol
_atom_site_fract_x
_atom_site_fract_y
_atom_site_fract_z
Cr1 Cr 0.0000 0.1850 0.2500
Cr2 Cr 0.0000 0.8150 0.7500
Ni1 Ni 0.0000 0.5298 0.2500
Ni2 Ni 0.0000 0.4702 0.7500
Pt1 Pt 0.5000 0.3280 0.0314
Pt2 Pt 0.5000 0.3280 0.4686
Pt3 Pt 0.5000 0.6720 0.9686
Pt4 Pt 0.5000 0.6720 0.5314
Pt5 Pt 0.5000 0.8556 0.2500
Pt6 Pt 0.5000 0.1444 0.7500
Pt7 Pt 0.0000 0.0000 0.0000
Pt8 Pt 0.0000 0.0000 0.5000
```

ΔE to the lowest computed polymorph (meV/atom): 0
Density of states at the Fermi level (states/eV/f.u.): 9.02
V (Å³/f.u.): 89
DFT formation energy (meV per atom): -39
Theoretical density (g/cm3): 16.67
Symmetry: Pmma, No. 51